DFT (PBE-GGA) results for a geometry-optimized NaTl3Cd structure.

POSCAR file:
```
NaTl3Cd
1.0
5.272 0.000 0.000
0.000 5.712 -2.744
0.000 0.244 9.254
Cd Tl Na
2 6 2
direct
0.015 0.020 0.298
0.515 0.748 0.086
0.515 0.911 0.471
0.015 0.229 0.686
0.015 0.856 0.913
0.015 0.458 0.102
0.515 0.538 0.697
0.515 0.310 0.281
0.515 0.147 0.879
0.015 0.621 0.504
```

Properties
* space-group type: P2_1/m
* density of states at the Fermi level: 4.01 states/eV per cell
* total moment: 0.00 μB/cell
* crystal system: monoclinic
* calculated density: 8.81 g/cm³
* formation energy from the elements: -22 kJ/mol of formula units